Record 1
# PaCu3Ni2 | Alexandria via LeMat-Bulk | PBE | optimized geometry
data_PaCu3Ni2
_chemical_formula_sum 'Pa1 Cu3 Ni2'
_cell_length_a 4.8566
_cell_length_b 4.8566
_cell_length_c 4.1853
_cell_angle_alpha 90.00
_cell_angle_beta 90.00
_cell_angle_gamma 120.00
_space_group_name_H-M_alt 'P 6/m m m'
_space_group_IT_number 191
_space_group_name_Hall '-P 6 2'
loop_
_atom_site_label
_atom_site_fract_x
_atom_site_fract_y
_atom_site_fract_z
Pa1 0.0000 0.0000 0.0000
Cu1 0.0000 0.5000 0.5000
Ni1 0.3333 0.6667 0.0000
# Mass density, kg/m³: 10469
# Energy of formation, meV per atom: -192.8

Record 2
# KTbY4S8 | Alexandria via LeMat-Bulk | PBE | optimized geometry
data_KTbY4S8
_chemical_formula_sum 'K3 Tb3 Y12 S24'
_cell_length_a 8.2277
_cell_length_b 8.2277
_cell_length_c 20.1886
_cell_angle_alpha 90.00
_cell_angle_beta 90.00
_cell_angle_gamma 120.00
_space_group_name_H-M_alt 'R 3 m'
_space_group_IT_number 160
_space_group_name_Hall 'R 3 -2"'
loop_
_atom_site_label
_atom_site_fract_x
_atom_site_fract_y
_atom_site_fract_z
K1 0.0000 0.0000 0.0000
Tb1 0.0000 0.0000 0.6298
Y1 0.0000 0.0000 0.2502
Y2 0.1727 0.3453 0.4571
S1 0.0000 0.0000 0.3827
S2 0.0000 0.0000 0.8587
S3 0.0436 0.5218 0.3809
S4 0.1764 0.3529 0.2058
# Mass density, kg/m³: 3410
# Raw formation energy, eV per atom: -1.94

Record 3
# In2I6Br | Alexandria via LeMat-Bulk | PBE | optimized geometry
data_In2I6Br
_chemical_formula_sum 'In8 I24 Br4'
_cell_length_a 18.343
_cell_length_b 15.809
_cell_length_c 7.590
_cell_angle_alpha 90.00
_cell_angle_beta 112.07
_cell_angle_gamma 90.00
_space_group_name_H-M_alt 'C 1 2/c 1'
_space_group_IT_number 15
loop_
_space_group_symop_operation_xyz
'x,y,z'
'-x,-y,-z'
'-x,y,-z+1/2'
'x,-y,z+1/2'
'x+1/2,y+1/2,z'
'-x+1/2,-y+1/2,-z'
'-x+1/2,y+1/2,-z+1/2'
'x+1/2,-y+1/2,z+1/2'
loop_
_atom_site_label
_atom_site_fract_x
_atom_site_fract_y
_atom_site_fract_z
In1 0.198 0.085 0.236
I1 0.122 0.220 0.036
I2 0.133 0.070 0.529
I3 0.142 0.431 0.616
Br1 0.000 0.403 0.250
# Mass density, kg/m³: 3487
# Raw formation energy, eV per atom: -0.34